1.
First-principles (PBE) data for a geometry-optimized Pm3Pr2Nd2 structure, as listed in Alexandria via LeMat-Bulk.

abc: 7.1512 6.6005 12.6604
angles: 90.00 90.00 122.79
Sites, in units of the cell vectors:
Pm  0.0000  0.0000  0.5000
Pm  0.5000  0.0000  0.0000
Pm  0.9367  0.5881  0.1132
Pm  0.5633  0.4119  0.6132
Pm  0.4367  0.5881  0.3868
Pm  0.0633  0.4119  0.8868
Pr  0.6607  0.9987  0.7057
Pr  0.1607  0.9987  0.7943
Pr  0.8393  0.0013  0.2057
Pr  0.3393  0.0013  0.2943
Nd  0.6504  0.5867  0.8858
Nd  0.1504  0.5867  0.6142
Nd  0.8496  0.4133  0.3858
Nd  0.3496  0.4133  0.1142

Summary:
Its total moment is 0.00 μB/f.u. As for the calculated formation energy: 0.150 eV/atom. The calculation puts the energy above the lowest structure with this stoichiometry at 1.09 kcal/mol of atoms. The value obtained for the total energy is -4.613 eV per atom.

2.
First-principles (PBE) data for a geometry-optimized Pm5Pr12Nd2 structure, as listed in Alexandria via LeMat-Bulk.

abc: 7.2669 8.9161 11.9390
angles: 109.04 107.72 90.00
Sites, in units of the cell vectors:
Pm  0.7514  0.5093  0.5027
Pm  0.6516  0.0972  0.3033
Pm  0.0000  0.5000  0.0000
Pm  0.3484  0.9028  0.6967
Pm  0.2486  0.4907  0.4973
Pr  0.8561  0.9385  0.7123
Pr  0.4526  0.7930  0.3998
Pr  0.9472  0.7930  0.3998
Pr  0.3629  0.3853  0.2132
Pr  0.8503  0.3853  0.2132
Pr  0.5486  0.6948  0.0973
Pr  0.4514  0.3052  0.9027
Pr  0.6371  0.6147  0.7868
Pr  0.1497  0.6147  0.7868
Pr  0.5474  0.2070  0.6002
Pr  0.0528  0.2070  0.6002
Pr  0.1439  0.0615  0.2877
Nd  0.7450  0.0000  0.0000
Nd  0.2550  0.0000  0.0000

Summary:
Its total moment is 0.00 μB/f.u. As for the calculated formation energy: 0.121 eV/atom. The calculation puts the energy above the lowest structure with this stoichiometry at 0.77 kcal/mol of atoms. The value obtained for the total energy is -4.650 eV per atom.

3.
First-principles (PBE) data for a geometry-optimized Pm3Pr2Nd7 structure, as listed in Alexandria via LeMat-Bulk.

abc: 3.6165 6.5503 18.5172
angles: 75.51 90.00 90.00
Sites, in units of the cell vectors:
Pm  0.5000  0.5000  0.0000
Pm  0.0000  0.1130  0.3393
Pm  0.0000  0.8870  0.6607
Pr  0.5000  0.6132  0.3297
Pr  0.5000  0.3868  0.6703
Nd  0.5000  0.2411  0.5017
Nd  0.5000  0.7589  0.4983
Nd  0.0000  0.5605  0.1652
Nd  0.0000  0.0000  0.0000
Nd  0.0000  0.4395  0.8348
Nd  0.5000  0.9409  0.8324
Nd  0.5000  0.0591  0.1676

Summary:
Its total moment is 0.00 μB/f.u. As for the calculated formation energy: 0.067 eV/atom. The calculation puts the energy above the lowest structure with this stoichiometry at 0.00 kcal/mol of atoms. The value obtained for the total energy is -4.699 eV per atom.

4.
First-principles (PBE) data for a geometry-optimized Pm14PrNd structure, as listed in Alexandria via LeMat-Bulk.

abc: 7.3790 7.3790 11.8437
angles: 90.00 90.00 119.97
Sites, in units of the cell vectors:
Pm  0.6667  0.3333  0.5000
Pm  0.1666  0.8334  0.5000
Pm  0.1668  0.3338  0.0000
Pm  0.1667  0.3336  0.5000
Pm  0.6662  0.8332  0.0000
Pm  0.6664  0.8333  0.5000
Pm  0.3336  0.1666  0.7488
Pm  0.3336  0.1666  0.2512
Pm  0.8334  0.6664  0.7488
Pm  0.8334  0.6664  0.2512
Pm  0.8336  0.1664  0.7497
Pm  0.8336  0.1664  0.2503
Pm  0.3334  0.6666  0.7493
Pm  0.3334  0.6666  0.2507
Pr  0.1662  0.8338  0.0000
Nd  0.6663  0.3337  0.0000

Summary:
Its total moment is 0.00 μB/f.u. As for the calculated formation energy: 0.033 eV/atom. The value obtained for the total energy is -4.720 eV per atom.

5.
First-principles (PBE) data for a geometry-optimized Pm2Pr2Nd7 structure, as listed in Alexandria via LeMat-Bulk.

abc: 8.4200 6.9952 6.9952
angles: 86.79 78.81 78.81
Sites, in units of the cell vectors:
Pm  0.5000  0.2005  0.7995
Pm  0.5000  0.7995  0.2005
Pr  0.8232  0.4158  0.4158
Pr  0.1768  0.5842  0.5842
Nd  0.1748  0.0994  0.5097
Nd  0.8252  0.4903  0.9006
Nd  0.8252  0.9006  0.4903
Nd  0.1748  0.5097  0.0994
Nd  0.0000  0.0000  0.0000
Nd  0.4799  0.7130  0.7130
Nd  0.5201  0.2870  0.2870

Summary:
Its total moment is 0.00 μB/f.u. As for the calculated formation energy: 0.163 eV/atom. The calculation puts the energy above the lowest structure with this stoichiometry at 2.21 kcal/mol of atoms. The value obtained for the total energy is -4.604 eV per atom.

6.
First-principles (PBE) data for a geometry-optimized Pm2Pr4Nd structure, as listed in Alexandria via LeMat-Bulk.

abc: 3.6228 5.9602 12.1962
angles: 104.15 98.54 90.00
Sites, in units of the cell vectors:
Pm  0.2757  0.2758  0.5513
Pm  0.7243  0.7242  0.4487
Pr  0.0840  0.5842  0.1681
Pr  0.9160  0.4158  0.8319
Pr  0.3629  0.8628  0.7258
Pr  0.6371  0.1372  0.2742
Nd  0.0000  0.0000  0.0000

Summary:
Its total moment is 0.00 μB/f.u. As for the calculated formation energy: 0.088 eV/atom. The calculation puts the energy above the lowest structure with this stoichiometry at 0.00 kcal/mol of atoms. The value obtained for the total energy is -4.681 eV per atom.

7.
First-principles (PBE) data for a geometry-optimized Pm5Pr4Nd2 structure, as listed in Alexandria via LeMat-Bulk.

abc: 3.5293 9.0296 12.4161
angles: 96.63 98.17 90.00
Sites, in units of the cell vectors:
Pm  0.1413  0.1141  0.2827
Pm  0.8587  0.8859  0.7173
Pm  0.2314  0.8265  0.4627
Pm  0.5000  0.0000  0.0000
Pm  0.7686  0.1735  0.5373
Pr  0.6787  0.4707  0.3574
Pr  0.0462  0.3606  0.0925
Pr  0.3213  0.5293  0.6426
Pr  0.9538  0.6394  0.9075
Nd  0.9101  0.2651  0.8202
Nd  0.0899  0.7349  0.1798

Summary:
Its total moment is 0.00 μB/f.u. As for the calculated formation energy: 0.128 eV/atom. The calculation puts the energy above the lowest structure with this stoichiometry at 0.00 kcal/mol of atoms. The value obtained for the total energy is -4.636 eV per atom.

8.
First-principles (PBE) data for a geometry-optimized Pm3Pr2Nd2 structure, as listed in Alexandria via LeMat-Bulk.

abc: 3.5729 8.8436 9.1517
angles: 118.35 101.26 90.00
Sites, in units of the cell vectors:
Pm  0.0000  0.5000  0.0000
Pm  0.2132  0.8015  0.4263
Pm  0.7868  0.1985  0.5737
Pr  0.5655  0.9087  0.1311
Pr  0.4345  0.0913  0.8689
Nd  0.8515  0.6644  0.7030
Nd  0.1485  0.3356  0.2970

Summary:
Its total moment is 0.00 μB/f.u. As for the calculated formation energy: 0.103 eV/atom. The calculation puts the energy above the lowest structure with this stoichiometry at 0.00 kcal/mol of atoms. The value obtained for the total energy is -4.660 eV per atom.

9.
First-principles (PBE) data for a geometry-optimized Pm2Pr3Nd structure, as listed in Alexandria via LeMat-Bulk.

abc: 3.6346 9.9591 11.8807
angles: 86.47 90.00 90.00
Sites, in units of the cell vectors:
Pm  0.2500  0.4437  0.8617
Pm  0.7500  0.5563  0.1383
Pm  0.7500  0.0832  0.3801
Pm  0.2500  0.9168  0.6199
Pr  0.7500  0.9216  0.1200
Pr  0.2500  0.0784  0.8800
Pr  0.7500  0.7641  0.8613
Pr  0.2500  0.2359  0.1387
Pr  0.2500  0.4016  0.3944
Pr  0.7500  0.5984  0.6056
Nd  0.2500  0.7569  0.3567
Nd  0.7500  0.2431  0.6433

Summary:
Its total moment is 0.00 μB/f.u. As for the calculated formation energy: 0.067 eV/atom. The calculation puts the energy above the lowest structure with this stoichiometry at 1.26 kcal/mol of atoms. The value obtained for the total energy is -4.701 eV per atom.

10.
First-principles (PBE) data for a geometry-optimized Pm5Pr4Nd2 structure, as listed in Alexandria via LeMat-Bulk.

abc: 3.5808 9.4761 12.8389
angles: 111.66 98.02 90.00
Sites, in units of the cell vectors:
Pm  0.8533  0.0506  0.7066
Pm  0.8533  0.6560  0.7066
Pm  0.1467  0.3440  0.2934
Pm  0.1467  0.9494  0.2934
Pm  0.5000  0.0000  0.0000
Pr  0.0000  0.2967  0.0000
Pr  0.5958  0.5958  0.1917
Pr  0.0000  0.7033  0.0000
Pr  0.4042  0.4042  0.8083
Nd  0.2695  0.2695  0.5390
Nd  0.7305  0.7305  0.4610

Summary:
Its total moment is 0.00 μB/f.u. As for the calculated formation energy: 0.219 eV/atom. The calculation puts the energy above the lowest structure with this stoichiometry at 2.10 kcal/mol of atoms. The value obtained for the total energy is -4.545 eV per atom.

11.
First-principles (PBE) data for a geometry-optimized PmPr6Nd8 structure, as listed in Alexandria via LeMat-Bulk.

abc: 9.5214 9.5214 8.8003
angles: 57.25 57.25 60.00
Sites, in units of the cell vectors:
Pm  0.0000  0.0000  0.0000
Pr  0.4443  0.8930  0.9243
Pr  0.1070  0.2616  0.0757
Pr  0.2616  0.5557  0.0757
Pr  0.7384  0.4443  0.9243
Pr  0.8930  0.7384  0.9243
Pr  0.5557  0.1070  0.0757
Nd  0.3378  0.2306  0.5163
Nd  0.7694  0.0847  0.4837
Nd  0.0847  0.6622  0.4837
Nd  0.5717  0.5717  0.2850
Nd  0.4283  0.4283  0.7150
Nd  0.9153  0.3378  0.5163
Nd  0.2306  0.9153  0.5163
Nd  0.6622  0.7694  0.4837

Summary:
Its total moment is 0.00 μB/f.u. As for the calculated formation energy: 0.138 eV/atom. The calculation puts the energy above the lowest structure with this stoichiometry at 0.00 kcal/mol of atoms. The value obtained for the total energy is -4.633 eV per atom.

12.
First-principles (PBE) data for a geometry-optimized PmPr7Nd12 structure, as listed in Alexandria via LeMat-Bulk.

abc: 8.9803 8.9803 8.9803
angles: 87.73 87.73 87.73
Sites, in units of the cell vectors:
Pm  0.0000  0.0000  0.0000
Pr  0.8496  0.6072  0.9263
Pr  0.3928  0.0737  0.1504
Pr  0.0737  0.1504  0.3928
Pr  0.5000  0.5000  0.5000
Pr  0.9263  0.8496  0.6072
Pr  0.6072  0.9263  0.8496
Pr  0.1504  0.3928  0.0737
Nd  0.8559  0.2573  0.7231
Nd  0.7427  0.2769  0.1441
Nd  0.6170  0.1364  0.4918
Nd  0.8636  0.5082  0.3830
Nd  0.2769  0.1441  0.7427
Nd  0.5082  0.3830  0.8636
Nd  0.4918  0.6170  0.1364
Nd  0.7231  0.8559  0.2573
Nd  0.1364  0.4918  0.6170
Nd  0.3830  0.8636  0.5082
Nd  0.2573  0.7231  0.8559
Nd  0.1441  0.7427  0.2769

Summary:
Its total moment is 0.00 μB/f.u. As for the calculated formation energy: 0.207 eV/atom. The calculation puts the energy above the lowest structure with this stoichiometry at 0.00 kcal/mol of atoms. The value obtained for the total energy is -4.564 eV per atom.